w:
# TcPb5, relaxed, DFT PBE
data_TcPb5
_chemical_formula_sum 'Tc2 Pb10'
_symmetry_space_group_name_H-M 'C 1 2/m 1'
_symmetry_Int_Tables_number 12
_cell_length_a 12.132
_cell_length_b 3.420
_cell_length_c 8.741
_cell_angle_alpha 90.00
_cell_angle_beta 112.30
_cell_angle_gamma 90.00
loop_
_symmetry_equiv_pos_as_xyz
'x,y,z'
'-x,-y,-z'
'-x,y,-z'
'x,-y,z'
'x+1/2,y+1/2,z'
'-x+1/2,-y+1/2,-z'
'-x+1/2,y+1/2,-z'
'x+1/2,-y+1/2,z'
loop_
_atom_site_label
_atom_site_type_symbol
_atom_site_fract_x
_atom_site_fract_y
_atom_site_fract_z
Tc1 Tc 0.000 0.000 0.000
Pb1 Pb 0.000 0.000 0.500
Pb2 Pb 0.132 0.500 0.861
Pb3 Pb 0.162 0.500 0.276
# **Total moment**: 0.0 μB/cell

=====

x:
# TcPb5, relaxed, DFT PBE
data_TcPb5
_chemical_formula_sum 'Tc2 Pb10'
_symmetry_space_group_name_H-M 'C m m m'
_symmetry_Int_Tables_number 65
_symmetry_space_group_name_Hall '-C 2 2'
_cell_length_a 4.155
_cell_length_b 15.681
_cell_length_c 5.162
_cell_angle_alpha 90.00
_cell_angle_beta 90.00
_cell_angle_gamma 90.00
loop_
_atom_site_label
_atom_site_type_symbol
_atom_site_fract_x
_atom_site_fract_y
_atom_site_fract_z
Tc1 Tc 0.000 0.000 0.000
Pb1 Pb 0.000 0.162 0.500
Pb2 Pb 0.000 0.361 0.000
Pb3 Pb 0.000 0.500 0.500
# **Total moment**: 3.9 μB/cell

=====

y:
# TcPb5, relaxed, DFT PBE
data_TcPb5
_chemical_formula_sum 'Tc1 Pb5'
_symmetry_space_group_name_H-M 'P 6/m m m'
_symmetry_Int_Tables_number 191
_symmetry_space_group_name_Hall '-P 6 2'
_cell_length_a 6.1672
_cell_length_b 6.1672
_cell_length_c 6.0264
_cell_angle_alpha 90.00
_cell_angle_beta 90.00
_cell_angle_gamma 120.00
loop_
_atom_site_label
_atom_site_type_symbol
_atom_site_fract_x
_atom_site_fract_y
_atom_site_fract_z
Tc1 Tc 0.0000 0.0000 0.0000
Pb1 Pb 0.0000 0.5000 0.5000
Pb2 Pb 0.3333 0.6667 0.0000
# **Total moment**: 3.8 μB/cell

=====

Computed energies relative to the best structure, in eV/atom: w 0.000; x 0.114; y 0.552

=====

w:
# Tc4Pb5, relaxed, DFT PBE
data_Tc4Pb5
_chemical_formula_sum 'Tc8 Pb10'
_symmetry_space_group_name_H-M 'I 4/m m m'
_symmetry_Int_Tables_number 139
_symmetry_space_group_name_Hall '-I 4 2'
_cell_length_a 9.126
_cell_length_b 9.126
_cell_length_c 4.989
_cell_angle_alpha 90.00
_cell_angle_beta 90.00
_cell_angle_gamma 90.00
loop_
_atom_site_label
_atom_site_type_symbol
_atom_site_fract_x
_atom_site_fract_y
_atom_site_fract_z
Tc1 Tc 0.000 0.380 0.000
Pb1 Pb 0.000 0.000 0.000
Pb2 Pb 0.179 0.179 0.500
# **Total moment**: 0.0 μB/cell

=====

x:
# Tc4Pb5, relaxed, DFT PBE
data_Tc4Pb5
_chemical_formula_sum 'Tc8 Pb10'
_symmetry_space_group_name_H-M 'P 63/m c m'
_symmetry_Int_Tables_number 193
_symmetry_space_group_name_Hall '-P 6c 2'
_cell_length_a 8.3159
_cell_length_b 8.3159
_cell_length_c 6.2009
_cell_angle_alpha 90.00
_cell_angle_beta 90.00
_cell_angle_gamma 120.00
loop_
_atom_site_label
_atom_site_type_symbol
_atom_site_fract_x
_atom_site_fract_y
_atom_site_fract_z
Tc1 Tc 0.0000 0.0000 0.0000
Tc2 Tc 0.0000 0.3879 0.2500
Pb1 Pb 0.0000 0.2800 0.7500
Pb2 Pb 0.3333 0.6667 0.0000
# **Total moment**: 1.3 μB/cell

=====

Computed energies relative to the best structure, in eV/atom: w 0.000; x 0.265

=====

w:
# Tc2TePb, relaxed, DFT PBE
data_Tc2TePb
_chemical_formula_sum 'Tc2 Te1 Pb1'
_symmetry_space_group_name_H-M 'P m m 2'
_symmetry_Int_Tables_number 25
_cell_length_a 3.226
_cell_length_b 4.896
_cell_length_c 4.968
_cell_angle_alpha 90.00
_cell_angle_beta 90.00
_cell_angle_gamma 90.00
loop_
_symmetry_equiv_pos_as_xyz
'x,y,z'
'-x,-y,z'
'-x,y,z'
'x,-y,z'
loop_
_atom_site_label
_atom_site_type_symbol
_atom_site_fract_x
_atom_site_fract_y
_atom_site_fract_z
Tc1 Tc 0.000 0.000 0.000
Tc2 Tc 0.500 0.500 0.179
Te1 Te 0.000 0.500 0.761
Pb1 Pb 0.500 0.000 0.473
# **Total moment**: 0.0 μB/cell

=====

x:
# Tc2TePb, relaxed, DFT PBE
data_Tc2TePb
_chemical_formula_sum 'Tc8 Te4 Pb4'
_symmetry_space_group_name_H-M 'I -4 2 d'
_symmetry_Int_Tables_number 122
_symmetry_space_group_name_Hall 'I -4 2bw'
_cell_length_a 6.160
_cell_length_b 6.160
_cell_length_c 11.668
_cell_angle_alpha 90.00
_cell_angle_beta 90.00
_cell_angle_gamma 90.00
loop_
_atom_site_label
_atom_site_type_symbol
_atom_site_fract_x
_atom_site_fract_y
_atom_site_fract_z
Tc1 Tc 0.231 0.250 0.125
Te1 Te 0.000 0.000 0.000
Pb1 Pb 0.000 0.000 0.500
# **Total moment**: 0.0 μB/cell

=====

Computed energies relative to the best structure, in eV/atom: w 0.000; x 0.657

=====

w:
# Tc2TePb, relaxed, DFT PBE
data_Tc2TePb
_chemical_formula_sum 'Tc2 Te1 Pb1'
_symmetry_space_group_name_H-M 'P 4/m m m'
_symmetry_Int_Tables_number 123
_symmetry_space_group_name_Hall '-P 4 2'
_cell_length_a 4.697
_cell_length_b 4.697
_cell_length_c 3.329
_cell_angle_alpha 90.00
_cell_angle_beta 90.00
_cell_angle_gamma 90.00
loop_
_atom_site_label
_atom_site_type_symbol
_atom_site_fract_x
_atom_site_fract_y
_atom_site_fract_z
Tc1 Tc 0.000 0.500 0.000
Te1 Te 0.000 0.000 0.500
Pb1 Pb 0.500 0.500 0.500
# **Total moment**: 0.0 μB/cell

=====

x:
# Tc2TePb, relaxed, DFT PBE
data_Tc2TePb
_chemical_formula_sum 'Tc2 Te1 Pb1'
_symmetry_space_group_name_H-M 'P 1 2/m 1'
_symmetry_Int_Tables_number 10
_cell_length_a 3.196
_cell_length_b 4.185
_cell_length_c 6.068
_cell_angle_alpha 90.00
_cell_angle_beta 97.19
_cell_angle_gamma 90.00
loop_
_symmetry_equiv_pos_as_xyz
'x,y,z'
'-x,-y,-z'
'-x,y,-z'
'x,-y,z'
loop_
_atom_site_label
_atom_site_type_symbol
_atom_site_fract_x
_atom_site_fract_y
_atom_site_fract_z
Tc1 Tc 0.208 0.000 0.293
Te1 Te 0.000 0.500 0.500
Pb1 Pb 0.500 0.500 0.000
# **Total moment**: 0.0 μB/cell

=====

Computed energies relative to the best structure, in eV/atom: w 0.000; x 0.236

=====

w:
# Tc2TePb, relaxed, DFT PBE
data_Tc2TePb
_chemical_formula_sum 'Tc4 Te2 Pb2'
_symmetry_space_group_name_H-M 'I m m m'
_symmetry_Int_Tables_number 71
_symmetry_space_group_name_Hall '-I 2 2'
_cell_length_a 3.258
_cell_length_b 5.551
_cell_length_c 8.838
_cell_angle_alpha 90.00
_cell_angle_beta 90.00
_cell_angle_gamma 90.00
loop_
_atom_site_label
_atom_site_type_symbol
_atom_site_fract_x
_atom_site_fract_y
_atom_site_fract_z
Tc1 Tc 0.000 0.000 0.232
Te1 Te 0.000 0.500 0.500
Pb1 Pb 0.000 0.500 0.000
# **Total moment**: 0.0 μB/cell

=====

x:
# Tc2TePb, relaxed, DFT PBE
data_Tc2TePb
_chemical_formula_sum 'Tc8 Te4 Pb4'
_symmetry_space_group_name_H-M 'F -4 3 m'
_symmetry_Int_Tables_number 216
_symmetry_space_group_name_Hall 'F -4 2 3'
_cell_length_a 6.804
_cell_length_b 6.804
_cell_length_c 6.804
_cell_angle_alpha 90.00
_cell_angle_beta 90.00
_cell_angle_gamma 90.00
loop_
_atom_site_label
_atom_site_type_symbol
_atom_site_fract_x
_atom_site_fract_y
_atom_site_fract_z
Tc1 Tc 0.000 0.000 0.000
Tc2 Tc 0.250 0.250 0.250
Te1 Te 0.250 0.250 0.750
Pb1 Pb 0.000 0.000 0.500
# **Total moment**: 5.7 μB/cell

=====

Computed energies relative to the best structure, in eV/atom: w 0.000; x 0.135

=====

w:
# Tc2TePb, relaxed, DFT PBE
data_Tc2TePb
_chemical_formula_sum 'Tc8 Te4 Pb4'
_symmetry_space_group_name_H-M 'F m -3 m'
_symmetry_Int_Tables_number 225
_symmetry_space_group_name_Hall '-F 4 2 3'
_cell_length_a 6.636
_cell_length_b 6.636
_cell_length_c 6.636
_cell_angle_alpha 90.00
_cell_angle_beta 90.00
_cell_angle_gamma 90.00
loop_
_atom_site_label
_atom_site_type_symbol
_atom_site_fract_x
_atom_site_fract_y
_atom_site_fract_z
Tc1 Tc 0.250 0.250 0.250
Te1 Te 0.000 0.000 0.000
Pb1 Pb 0.000 0.000 0.500
# **Total moment**: 0.0 μB/cell

=====

x:
# Tc2TePb, relaxed, DFT PBE
data_Tc2TePb
_chemical_formula_sum 'Tc4 Te2 Pb2'
_symmetry_space_group_name_H-M 'C 1 2/m 1'
_symmetry_Int_Tables_number 12
_cell_length_a 8.449
_cell_length_b 3.219
_cell_length_c 5.935
_cell_angle_alpha 90.00
_cell_angle_beta 103.06
_cell_angle_gamma 90.00
loop_
_symmetry_equiv_pos_as_xyz
'x,y,z'
'-x,-y,-z'
'-x,y,-z'
'x,-y,z'
'x+1/2,y+1/2,z'
'-x+1/2,-y+1/2,-z'
'-x+1/2,y+1/2,-z'
'x+1/2,-y+1/2,z'
loop_
_atom_site_label
_atom_site_type_symbol
_atom_site_fract_x
_atom_site_fract_y
_atom_site_fract_z
Tc1 Tc 0.248 0.000 0.295
Te1 Te 0.000 0.000 0.500
Pb1 Pb 0.000 0.500 0.000
# **Total moment**: 0.0 μB/cell

=====

Computed energies relative to the best structure, in eV/atom: w 0.000; x 0.008

=====

w:
# Tc2TePb, relaxed, DFT PBE
data_Tc2TePb
_chemical_formula_sum 'Tc4 Te2 Pb2'
_symmetry_space_group_name_H-M 'C m m m'
_symmetry_Int_Tables_number 65
_symmetry_space_group_name_Hall '-C 2 2'
_cell_length_a 3.314
_cell_length_b 5.538
_cell_length_c 8.670
_cell_angle_alpha 90.00
_cell_angle_beta 90.00
_cell_angle_gamma 90.00
loop_
_atom_site_label
_atom_site_type_symbol
_atom_site_fract_x
_atom_site_fract_y
_atom_site_fract_z
Tc1 Tc 0.000 0.000 0.236
Te1 Te 0.000 0.500 0.000
Pb1 Pb 0.000 0.500 0.500
# **Total moment**: 0.0 μB/cell

=====

x:
# Tc2TePb, relaxed, DFT PBE
data_Tc2TePb
_chemical_formula_sum 'Tc4 Te2 Pb2'
_symmetry_space_group_name_H-M 'I -4 m 2'
_symmetry_Int_Tables_number 119
_symmetry_space_group_name_Hall 'I -4 -2'
_cell_length_a 4.297
_cell_length_b 4.297
_cell_length_c 8.412
_cell_angle_alpha 90.00
_cell_angle_beta 90.00
_cell_angle_gamma 90.00
loop_
_atom_site_label
_atom_site_type_symbol
_atom_site_fract_x
_atom_site_fract_y
_atom_site_fract_z
Tc1 Tc 0.000 0.000 0.000
Tc2 Tc 0.000 0.500 0.250
Te1 Te 0.000 0.500 0.750
Pb1 Pb 0.000 0.000 0.500
# **Total moment**: 0.0 μB/cell

=====

y:
# Tc2TePb, relaxed, DFT PBE
data_Tc2TePb
_chemical_formula_sum 'Tc4 Te2 Pb2'
_symmetry_space_group_name_H-M 'I m m 2'
_symmetry_Int_Tables_number 44
_cell_length_a 3.331
_cell_length_b 3.977
_cell_length_c 12.071
_cell_angle_alpha 90.00
_cell_angle_beta 90.00
_cell_angle_gamma 90.00
loop_
_symmetry_equiv_pos_as_xyz
'x,y,z'
'-x,-y,z'
'-x,y,z'
'x,-y,z'
'x+1/2,y+1/2,z+1/2'
'-x+1/2,-y+1/2,z+1/2'
'-x+1/2,y+1/2,z+1/2'
'x+1/2,-y+1/2,z+1/2'
loop_
_atom_site_label
_atom_site_type_symbol
_atom_site_fract_x
_atom_site_fract_y
_atom_site_fract_z
Tc1 Tc 0.000 0.000 0.000
Tc2 Tc 0.000 0.500 0.244
Te1 Te 0.000 0.000 0.575
Pb1 Pb 0.000 0.500 0.829
# **Total moment**: 0.0 μB/cell

=====

Computed energies relative to the best structure, in eV/atom: w 0.289; x 0.277; y 0.000

=====

w:
# Tc2TePb, relaxed, DFT PBE
data_Tc2TePb
_chemical_formula_sum 'Tc4 Te2 Pb2'
_symmetry_space_group_name_H-M 'C 1 2/m 1'
_symmetry_Int_Tables_number 12
_cell_length_a 6.469
_cell_length_b 8.676
_cell_length_c 3.223
_cell_angle_alpha 90.00
_cell_angle_beta 118.38
_cell_angle_gamma 90.00
loop_
_symmetry_equiv_pos_as_xyz
'x,y,z'
'-x,-y,-z'
'-x,y,-z'
'x,-y,z'
'x+1/2,y+1/2,z'
'-x+1/2,-y+1/2,-z'
'-x+1/2,y+1/2,-z'
'x+1/2,-y+1/2,z'
loop_
_atom_site_label
_atom_site_type_symbol
_atom_site_fract_x
_atom_site_fract_y
_atom_site_fract_z
Tc1 Tc 0.250 0.250 0.000
Te1 Te 0.000 0.000 0.500
Pb1 Pb 0.000 0.500 0.500
# **Total moment**: 0.0 μB/cell

=====

x:
# Tc2TePb, relaxed, DFT PBE
data_Tc2TePb
_chemical_formula_sum 'Tc2 Te1 Pb1'
_symmetry_space_group_name_H-M 'P m m 2'
_symmetry_Int_Tables_number 25
_cell_length_a 3.069
_cell_length_b 3.673
_cell_length_c 7.974
_cell_angle_alpha 90.00
_cell_angle_beta 90.00
_cell_angle_gamma 90.00
loop_
_symmetry_equiv_pos_as_xyz
'x,y,z'
'-x,-y,z'
'-x,y,z'
'x,-y,z'
loop_
_atom_site_label
_atom_site_type_symbol
_atom_site_fract_x
_atom_site_fract_y
_atom_site_fract_z
Tc1 Tc 0.000 0.000 0.000
Tc2 Tc 0.500 0.500 0.144
Te1 Te 0.000 0.000 0.344
Pb1 Pb 0.500 0.500 0.755
# **Total moment**: 0.0 μB/cell

=====

y:
# Tc2TePb, relaxed, DFT PBE
data_Tc2TePb
_chemical_formula_sum 'Tc4 Te2 Pb2'
_symmetry_space_group_name_H-M 'C 1 m 1'
_symmetry_Int_Tables_number 8
_cell_length_a 8.452
_cell_length_b 3.296
_cell_length_c 7.105
_cell_angle_alpha 90.00
_cell_angle_beta 100.59
_cell_angle_gamma 90.00
loop_
_symmetry_equiv_pos_as_xyz
'x,y,z'
'x,-y,z'
'x+1/2,y+1/2,z'
'x+1/2,-y+1/2,z'
loop_
_atom_site_label
_atom_site_type_symbol
_atom_site_fract_x
_atom_site_fract_y
_atom_site_fract_z
Tc1 Tc 0.000 0.000 0.000
Tc2 Tc 0.227 0.500 0.098
Te1 Te 0.265 0.000 0.789
Pb1 Pb 0.484 0.000 0.352
# **Total moment**: 0.0 μB/cell

=====

z:
# Tc2TePb, relaxed, DFT PBE
data_Tc2TePb
_chemical_formula_sum 'Tc6 Te3 Pb3'
_symmetry_space_group_name_H-M 'R -3 m'
_symmetry_Int_Tables_number 166
_symmetry_space_group_name_Hall '-R 3 2"'
_cell_length_a 3.2414
_cell_length_b 3.2414
_cell_length_c 25.2249
_cell_angle_alpha 90.00
_cell_angle_beta 90.00
_cell_angle_gamma 120.00
loop_
_atom_site_label
_atom_site_type_symbol
_atom_site_fract_x
_atom_site_fract_y
_atom_site_fract_z
Tc1 Tc 0.0000 0.0000 0.2444
Te1 Te 0.0000 0.0000 0.5000
Pb1 Pb 0.0000 0.0000 0.0000
# **Total moment**: 0.0 μB/cell

=====

Computed energies relative to the best structure, in eV/atom: w 0.590; x 0.000; y 0.036; z 0.285